No. 1
## NbFePd (PBE-GGA)

Data for a relaxed NbFePd crystal.

The structure belongs to space group I4mm (No. 107); the cell edges are 2.754, 2.754 and 11.954 Å and the angles 90.00°, 90.00° and 90.00°. The inequivalent atoms are Nb at (0.000, 0.000, 0.000), Fe at (0.000, 0.000, 0.669) and Pd at (0.000, 0.000, 0.322).

As for the density of states at the Fermi level: 2.5 states/eV/f.u. Its formation energy is -0.082 eV/atom. The calculation puts the energy above the lowest structure with this stoichiometry at 0.002 eV per atom.

No. 2
## SrAuCl2 (PBE-GGA)

Data for a relaxed SrAuCl2 crystal.

The structure belongs to space group R-3m (No. 166, hexagonal axes); the cell edges are 4.3448, 4.3448 and 24.3925 Å and the angles 90.00°, 90.00° and 120.00°. The inequivalent atoms are Sr at (0.0000, 0.0000, 0.0000), Au at (0.0000, 0.0000, 0.5000) and Cl at (0.0000, 0.0000, 0.1137).

As for the density of states at the Fermi level: 1.1 states/eV/f.u. The calculation puts the uncorrected formation energy at -0.595 eV per atom. The calculation puts the energy above the lowest structure with this stoichiometry at 0.639 eV per atom.

No. 3
## KNa2Sr (PBE-GGA)

Data for a relaxed KNa2Sr crystal.

The structure belongs to space group R3m (No. 160, hexagonal axes); the cell edges are 4.2154, 4.2154 and 39.4699 Å and the angles 90.00°, 90.00° and 120.00°. The inequivalent atoms are K at (0.0000, 0.0000, 0.0000), Na at (0.0000, 0.0000, 0.4198), Na at (0.0000, 0.0000, 0.5801) and Sr at (0.0000, 0.0000, 0.8332).

As for the density of states at the Fermi level: 3.3 states/eV/f.u. Its formation energy is 0.063 eV/atom. The calculation puts the energy above the lowest structure with this stoichiometry at 0.031 eV per atom.

No. 4
## BeCoRu2 (PBE-GGA)

Data for a relaxed BeCoRu2 crystal.

The structure belongs to space group I-42d (No. 122); the cell edges are 6.305, 6.305 and 5.032 Å and the angles 90.00°, 90.00° and 90.00°. The inequivalent atoms are Be at (0.000, 0.000, 0.000), Co at (0.000, 0.000, 0.500) and Ru at (0.213, 0.250, 0.125).

As for the density of states at the Fermi level: 5.5 states/eV/f.u. Its formation energy is 0.526 eV/atom.

No. 5
## CsBMoRh2 (PBE-GGA)

Data for a relaxed CsBMoRh2 crystal.

The structure belongs to space group P4/mmm (No. 123); the cell edges are 4.879, 4.879 and 4.560 Å and the angles 90.00°, 90.00° and 90.00°. The inequivalent atoms are Cs at (0.000, 0.000, 0.000), B at (0.500, 0.500, 0.000), Mo at (0.500, 0.500, 0.500) and Rh at (0.000, 0.500, 0.500).

As for the density of states at the Fermi level: 4.1 states/eV/f.u. Its formation energy is 1.252 eV/atom.

No. 6
## Pr2InGa3Rh4 (PBE-GGA)

Data for a relaxed Pr2InGa3Rh4 crystal.

The structure belongs to space group P-4m2 (No. 115); the cell edges are 4.339, 4.339 and 10.438 Å and the angles 90.00°, 90.00° and 90.00°. The inequivalent atoms are Pr at (0.000, 0.500, 0.234), In at (0.000, 0.000, 0.500), Ga at (0.000, 0.500, 0.881), Ga at (0.500, 0.500, 0.500), Rh at (0.000, 0.000, 0.000), Rh at (0.000, 0.500, 0.644) and Rh at (0.500, 0.500, 0.000).

As for the density of states at the Fermi level: 7.7 states/eV/f.u. Its formation energy is -0.728 eV/atom.

No. 7
## Ho2Sc3Bi2 (PBE-GGA)

Data for a relaxed Ho2Sc3Bi2 crystal.

The structure belongs to space group C2/m (No. 12); the cell edges are 11.702, 4.246 and 8.199 Å and the angles 90.00°, 110.23° and 90.00°. The inequivalent atoms are Ho at (0.114, 0.000, 0.257), Sc at (0.000, 0.500, 0.500), Sc at (0.126, 0.500, 0.940) and Bi at (0.172, 0.000, 0.695).

As for the density of states at the Fermi level: 8.2 states/eV/f.u. Its formation energy is -0.437 eV/atom.

No. 8
## CaMgAl2Hg2 (PBE-GGA)

Data for a relaxed CaMgAl2Hg2 crystal.

The structure belongs to space group P-3m1 (No. 164); the cell edges are 4.6229, 4.6229 and 7.2303 Å and the angles 90.00°, 90.00° and 120.00°. The inequivalent atoms are Ca at (0.0000, 0.0000, 0.0000), Mg at (0.0000, 0.0000, 0.5000), Al at (0.3333, 0.6667, 0.7250) and Hg at (0.3333, 0.6667, 0.2713).

As for the density of states at the Fermi level: 3.2 states/eV/f.u. Its formation energy is -0.216 eV/atom.

No. 9
## SrZr4Cu3O12 (PBE-GGA)

Data for a relaxed SrZr4Cu3O12 crystal.

The structure belongs to space group Im-3 (No. 204); the cell edges are 7.893, 7.893 and 7.893 Å and the angles 90.00°, 90.00° and 90.00°. The inequivalent atoms are Sr at (0.000, 0.000, 0.000), Zr at (0.250, 0.250, 0.250), Cu at (0.000, 0.000, 0.500) and O at (0.000, 0.309, 0.168).

As for the density of states at the Fermi level: 0.4 states/eV/f.u. The calculation puts the uncorrected formation energy at -2.408 eV per atom.

No. 10
## Li8AlPd2 (PBE-GGA)

Data for a relaxed Li8AlPd2 crystal.

The structure belongs to space group C2/m (No. 12); the cell edges are 6.941, 13.583 and 4.700 Å and the angles 90.00°, 130.47° and 90.00°. The inequivalent atoms are Li at (0.000, 0.202, 0.000), Li at (0.016, 0.500, 0.284), Li at (0.233, 0.140, 0.740), Al at (0.000, 0.000, 0.000) and Pd at (0.000, 0.327, 0.500).

As for the density of states at the Fermi level: 4.3 states/eV/f.u. Its formation energy is -0.138 eV/atom.

No. 11
## Ta2MnCr (PBE-GGA)

Data for a relaxed Ta2MnCr crystal.

The structure belongs to space group C2/m (No. 12); the cell edges are 5.522, 8.259 and 2.798 Å and the angles 90.00°, 111.06° and 90.00°. The inequivalent atoms are Ta at (0.250, 0.250, 0.000), Mn at (0.000, 0.000, 0.500) and Cr at (0.000, 0.500, 0.500).

As for the density of states at the Fermi level: 2.9 states/eV/f.u. Its formation energy is 0.091 eV/atom.

No. 12
## Ce2HoSn (PBE-GGA)

Data for a relaxed Ce2HoSn crystal.

The structure belongs to space group P4/mmm (No. 123); the cell edges are 4.594, 4.594 and 5.135 Å and the angles 90.00°, 90.00° and 90.00°. The inequivalent atoms are Ce at (0.000, 0.500, 0.000), Ho at (0.000, 0.000, 0.500) and Sn at (0.500, 0.500, 0.500).

As for the density of states at the Fermi level: 9.7 states/eV/f.u. Its formation energy is -0.400 eV/atom. The calculation puts the energy above the lowest structure with this stoichiometry at 0.002 eV per atom.